[1]
## PmY3Ho2Er6 (PBE)

Data for a relaxed PmY3Ho2Er6 crystal.

Cell: 6.1244 6.1244 11.7237 Å, 94.98 94.98 119.94°
Fractional positions:
1 Pm 0.0000 0.0000 0.0000
2 Y 0.1669 0.8331 0.5000
3 Y 0.8331 0.1669 0.5000
4 Y 0.5000 0.5000 0.5000
5 Ho 0.3333 0.6667 0.0000
6 Ho 0.6667 0.3333 0.0000
7 Er 0.9162 0.5824 0.7504
8 Er 0.7499 0.7499 0.2495
9 Er 0.0838 0.4176 0.2496
10 Er 0.5824 0.9162 0.7504
11 Er 0.2501 0.2501 0.7505
12 Er 0.4176 0.0838 0.2496

Results
* space-group type: C2/m, No. 12
* ΔH_f (0 K): 0.023 eV per atom

[2]
## PmY3Ho6Er2 (PBE)

Data for a relaxed PmY3Ho6Er2 crystal.

Cell: 6.1333 6.1333 11.7508 Å, 94.97 94.97 119.94°
Fractional positions:
1 Pm 0.0000 0.0000 0.0000
2 Y 0.1670 0.8330 0.5000
3 Y 0.8330 0.1670 0.5000
4 Y 0.5000 0.5000 0.5000
5 Ho 0.9161 0.5822 0.7506
6 Ho 0.7499 0.7499 0.2493
7 Ho 0.0839 0.4178 0.2494
8 Ho 0.5822 0.9161 0.7506
9 Ho 0.2501 0.2501 0.7507
10 Ho 0.4178 0.0839 0.2494
11 Er 0.3333 0.6667 0.0000
12 Er 0.6667 0.3333 0.0000

Results
* space-group type: C2/m, No. 12
* ΔH_f (0 K): 0.021 eV per atom

[3]
## PmY2Ho6Er (PBE)

Data for a relaxed PmY2Ho6Er crystal.

Cell: 9.5490 8.7451 8.7451 Å, 117.51 93.99 93.99°
Fractional positions:
1 Pm 0.2500 0.4072 0.5928
2 Pm 0.7500 0.5928 0.4072
3 Y 0.4557 0.8068 0.7044
4 Y 0.0443 0.2956 0.1932
5 Y 0.5443 0.1932 0.2956
6 Y 0.9557 0.7044 0.8068
7 Ho 0.0568 0.1210 0.7508
8 Ho 0.4432 0.2492 0.8790
9 Ho 0.9432 0.8790 0.2492
10 Ho 0.5568 0.7508 0.1210
11 Ho 0.3159 0.9762 0.4269
12 Ho 0.1841 0.5731 0.0238
13 Ho 0.6841 0.0238 0.5731
14 Ho 0.8159 0.4269 0.9762
15 Ho 0.1199 0.7079 0.4931
16 Ho 0.3801 0.5069 0.2921
17 Ho 0.8801 0.2921 0.5069
18 Ho 0.6199 0.4931 0.7079
19 Er 0.2500 0.9751 0.0249
20 Er 0.7500 0.0249 0.9751

Results
* space-group type: C2/c, No. 15
* ΔH_f (0 K): 0.128 eV per atom

[4]
## Pm2Y6HoEr3 (PBE)

Data for a relaxed Pm2Y6HoEr3 crystal.

Cell: 6.1731 6.1731 11.8071 Å, 94.98 94.98 119.95°
Fractional positions:
1 Pm 0.3333 0.6667 0.0000
2 Pm 0.6667 0.3333 0.0000
3 Y 0.9156 0.5828 0.7475
4 Y 0.7518 0.7518 0.2526
5 Y 0.0844 0.4172 0.2525
6 Y 0.5828 0.9156 0.7475
7 Y 0.2482 0.2482 0.7474
8 Y 0.4172 0.0844 0.2525
9 Ho 0.0000 0.0000 0.0000
10 Er 0.1664 0.8336 0.5000
11 Er 0.8336 0.1664 0.5000
12 Er 0.5000 0.5000 0.5000

Results
* space-group type: C2/m, No. 12
* ΔH_f (0 K): 0.021 eV per atom

[5]
## Pm2Y2Ho4Er (PBE)

Data for a relaxed Pm2Y2Ho4Er crystal.

Cell: 3.5921 9.4954 9.5467 Å, 115.24 90.00 100.90°
Fractional positions:
1 Pm 0.3346 0.6691 0.9995
2 Pm 0.6654 0.3309 0.0005
3 Y 0.8532 0.7063 0.3370
4 Y 0.1468 0.2937 0.6630
5 Ho 0.8150 0.6300 0.6644
6 Ho 0.1850 0.3700 0.3356
7 Ho 0.5191 0.0382 0.3336
8 Ho 0.4809 0.9618 0.6664
9 Er 0.0000 0.0000 0.0000

Results
* space-group type: C2/m, No. 12
* ΔH_f (0 K): -0.002 eV per atom

[6]
## PmYHo5Er2 (PBE)

Data for a relaxed PmYHo5Er2 crystal.

Cell: 5.5780 10.2233 10.5774 Å, 90.00 90.00 105.83°
Fractional positions:
1 Pm 0.5838 0.1677 0.9532
2 Pm 0.4162 0.8323 0.4532
3 Y 0.7992 0.5984 0.5118
4 Y 0.2008 0.4016 0.0118
5 Ho 0.3892 0.7784 0.0225
6 Ho 0.7174 0.4349 0.8100
7 Ho 0.4786 0.9572 0.7371
8 Ho 0.2988 0.5976 0.7099
9 Ho 0.9816 0.9632 0.5247
10 Ho 0.6108 0.2216 0.5225
11 Ho 0.2826 0.5651 0.3100
12 Ho 0.5214 0.0428 0.2371
13 Ho 0.7012 0.4024 0.2099
14 Ho 0.0184 0.0368 0.0247
15 Er 0.8862 0.7725 0.8192
16 Er 0.1102 0.2205 0.7356
17 Er 0.1138 0.2275 0.3192
18 Er 0.8898 0.7795 0.2356

Results
* space-group type: Cmc2_1, No. 36
* ΔH_f (0 K): 0.160 eV per atom

[7]
## PmY6HoEr2 (PBE)

Data for a relaxed PmY6HoEr2 crystal.

Cell: 9.6333 8.7603 8.7603 Å, 117.19 94.40 94.40°
Fractional positions:
1 Pm 0.2500 0.4069 0.5931
2 Pm 0.7500 0.5931 0.4069
3 Y 0.0559 0.1189 0.7538
4 Y 0.4441 0.2462 0.8811
5 Y 0.9441 0.8811 0.2462
6 Y 0.5559 0.7538 0.1189
7 Y 0.3176 0.9793 0.4281
8 Y 0.1824 0.5719 0.0207
9 Y 0.6824 0.0207 0.5719
10 Y 0.8176 0.4281 0.9793
11 Y 0.1186 0.7061 0.4945
12 Y 0.3814 0.5055 0.2939
13 Y 0.8814 0.2939 0.5055
14 Y 0.6186 0.4945 0.7061
15 Ho 0.2500 0.9751 0.0249
16 Ho 0.7500 0.0249 0.9751
17 Er 0.4539 0.8067 0.7058
18 Er 0.0461 0.2942 0.1933
19 Er 0.5461 0.1933 0.2942
20 Er 0.9539 0.7058 0.8067

Results
* space-group type: C2/c, No. 15
* ΔH_f (0 K): 0.122 eV per atom

[8]
## Pm6Y3HoEr2 (PBE)

Data for a relaxed Pm6Y3HoEr2 crystal.

Cell: 6.2433 6.2433 11.8227 Å, 95.03 95.03 119.98°
Fractional positions:
1 Pm 0.9168 0.5834 0.7518
2 Pm 0.7497 0.7497 0.2483
3 Pm 0.0832 0.4166 0.2482
4 Pm 0.5834 0.9168 0.7518
5 Pm 0.2503 0.2503 0.7517
6 Pm 0.4166 0.0832 0.2482
7 Y 0.1667 0.8333 0.5000
8 Y 0.8333 0.1667 0.5000
9 Y 0.5000 0.5000 0.5000
10 Ho 0.0000 0.0000 0.0000
11 Er 0.3334 0.6666 0.0000
12 Er 0.6666 0.3334 0.0000

Results
* space-group type: C2/m, No. 12
* ΔH_f (0 K): 0.012 eV per atom

no.,M_tot (μB per atom)
1,0.000
2,0.000
3,0.000
4,0.000
5,0.000
6,0.000
7,0.000
8,0.000